Record 1
YTe2H after structural relaxation. Source: Alexandria via LeMat-Bulk, functional PBE.

Structure (POSCAR):
```
YTe2H
1.0
4.135 0.000 0.000
2.037 5.494 0.000
0.465 1.619 9.056
Y Te H
2 4 2
Direct
0.000 0.000 0.000
0.301 0.464 0.730
0.297 0.399 0.060
0.519 0.898 0.261
0.581 0.893 0.754
0.779 0.399 0.441
0.123 0.481 0.482
0.867 0.312 0.802
```

Values from the calculation:
The value obtained for the volume is 206 Å³/cell. Its space group is No. 1. The uncorrected energy is -4.807 eV per atom. Its calculated density is 5572 kg/m3. The value obtained for the magnetization is 0.00 μB per formula unit. As for the crystal system: triclinic.

---

Record 2
Y2Te2H after structural relaxation. Source: Alexandria via LeMat-Bulk, functional PBE.

Structure (POSCAR):
```
Y2Te2H
1.0
1.978 -5.449 0.000
1.978 5.449 0.000
0.000 0.000 11.480
Y Te H
4 4 2
Direct
0.055 0.945 0.500
0.224 0.776 0.751
0.776 0.224 0.251
0.945 0.055 0.000
0.064 0.936 0.239
0.334 0.666 0.458
0.666 0.334 0.958
0.936 0.064 0.739
0.364 0.636 0.110
0.636 0.364 0.610
```

Values from the calculation:
The value obtained for the volume is 247 Å³/cell. Its space group is No. 36. The uncorrected energy is -5.539 eV per atom. Its calculated density is 5825 kg/m3. The value obtained for the magnetization is 0.44 μB per formula unit. As for the crystal system: orthorhombic.

---

Record 3
YTe2H after structural relaxation. Source: Alexandria via LeMat-Bulk, functional PBE.

Structure (POSCAR):
```
YTe2H
1.0
2.665 1.538 4.663
-2.665 1.538 4.663
0.000 -3.077 4.663
Y Te H
1 2 1
Direct
0.000 0.000 0.000
0.299 0.299 0.299
0.782 0.782 0.782
0.420 0.420 0.420
```

Values from the calculation:
The value obtained for the volume is 115 Å³/cell. Its space group is No. 160. The uncorrected energy is -4.591 eV per atom. Its calculated density is 4997 kg/m3. The value obtained for the magnetization is 0.00 μB per formula unit. As for the crystal system: trigonal.

---

Record 4
YTe2H after structural relaxation. Source: Alexandria via LeMat-Bulk, functional PBE.

Structure (POSCAR):
```
YTe2H
1.0
-3.528 3.528 3.780
3.528 -3.528 3.780
3.528 3.528 -3.780
Y Te H
2 4 2
Direct
0.000 0.000 0.000
0.750 0.250 0.500
0.203 0.125 0.578
0.375 0.797 0.922
0.547 0.625 0.422
0.875 0.453 0.078
0.250 0.750 0.500
0.500 0.500 0.000
```

Values from the calculation:
The value obtained for the volume is 188 Å³/cell. Its space group is No. 122. The uncorrected energy is -4.378 eV per atom. Its calculated density is 6091 kg/m3. The value obtained for the magnetization is 0.00 μB per formula unit. As for the crystal system: tetragonal.

---

Record 5
YTe2H after structural relaxation. Source: Alexandria via LeMat-Bulk, functional PBE.

Structure (POSCAR):
```
YTe2H
1.0
0.000 3.691 3.691
3.691 0.000 3.691
3.691 3.691 0.000
Y Te H
1 2 1
Direct
0.000 0.000 0.000
0.250 0.250 0.250
0.750 0.750 0.750
0.500 0.500 0.500
```

Values from the calculation:
The value obtained for the volume is 101 Å³/cell. Its space group is No. 225. The uncorrected energy is -4.232 eV per atom. Its calculated density is 5697 kg/m3. The value obtained for the magnetization is 0.87 μB per formula unit. As for the crystal system: cubic.

---

Record 6
YTe2H after structural relaxation. Source: Alexandria via LeMat-Bulk, functional PBE.

Structure (POSCAR):
```
YTe2H
1.0
4.283 0.000 0.000
-0.363 7.346 0.000
-1.296 -1.364 7.796
Y Te H
2 4 2
Direct
0.000 0.000 0.000
0.135 0.928 0.479
0.129 0.639 0.148
0.449 0.177 0.806
0.607 0.123 0.294
0.676 0.721 0.669
0.750 0.546 0.108
0.791 0.507 0.602
```

Values from the calculation:
The value obtained for the volume is 245 Å³/cell. Its space group is No. 1. The uncorrected energy is -4.764 eV per atom. Its calculated density is 4673 kg/m3. The value obtained for the magnetization is 0.00 μB per formula unit. As for the crystal system: triclinic.

---

Record 7
YTe2H after structural relaxation. Source: Alexandria via LeMat-Bulk, functional PBE.

Structure (POSCAR):
```
YTe2H
1.0
2.115 -12.895 0.000
2.115 12.895 0.000
0.000 0.000 4.073
Y Te H
2 4 2
Direct
0.166 0.834 0.750
0.834 0.166 0.250
0.295 0.705 0.750
0.423 0.577 0.250
0.577 0.423 0.750
0.705 0.295 0.250
0.436 0.564 0.750
0.564 0.436 0.250
```

Values from the calculation:
The value obtained for the volume is 222 Å³/cell. Its space group is No. 63. The uncorrected energy is -4.698 eV per atom. Its calculated density is 5159 kg/m3. The value obtained for the magnetization is 0.00 μB per formula unit. As for the crystal system: orthorhombic.

---

Record 8
YTe2H after structural relaxation. Source: Alexandria via LeMat-Bulk, functional PBE.

Structure (POSCAR):
```
YTe2H
1.0
4.283 0.000 0.000
-2.141 3.709 0.000
0.000 0.000 8.253
Y Te H
1 2 1
Direct
0.000 0.000 0.000
0.000 0.000 0.351
0.333 0.667 0.808
0.667 0.333 0.327
```

Values from the calculation:
The value obtained for the volume is 131 Å³/cell. Its space group is No. 156. The uncorrected energy is -4.298 eV per atom. Its calculated density is 4372 kg/m3. The value obtained for the magnetization is 0.00 μB per formula unit. As for the crystal system: trigonal.

---

Record 9
YTeH after structural relaxation. Source: Alexandria via LeMat-Bulk, functional PBE.

Structure (POSCAR):
```
YTeH
1.0
5.615 -1.989 0.000
5.615 1.989 0.000
-4.673 0.000 5.643
Y Te H
2 2 2
Direct
0.207 0.207 0.149
0.793 0.793 0.851
0.446 0.446 0.710
0.554 0.554 0.290
0.208 0.208 0.851
0.792 0.792 0.149
```

Values from the calculation:
The value obtained for the volume is 126 Å³/cell. Its space group is No. 12. The uncorrected energy is -5.386 eV per atom. Its calculated density is 5732 kg/m3. The value obtained for the magnetization is 0.00 μB per formula unit. As for the crystal system: monoclinic.

---

Record 10
YTeH after structural relaxation. Source: Alexandria via LeMat-Bulk, functional PBE.

Structure (POSCAR):
```
YTeH
1.0
-1.725 1.725 5.273
1.725 -1.725 5.273
1.725 1.725 -5.273
Y Te H
1 1 1
Direct
0.000 0.000 0.000
0.297 0.297 0.000
0.565 0.565 0.000
```

Values from the calculation:
The value obtained for the volume is 63 Å³/cell. Its space group is No. 107. The uncorrected energy is -4.835 eV per atom. Its calculated density is 5753 kg/m3. The value obtained for the magnetization is 0.30 μB per formula unit. As for the crystal system: tetragonal.

---

Record 11
YTe2H after structural relaxation. Source: Alexandria via LeMat-Bulk, functional PBE.

Structure (POSCAR):
```
YTe2H
1.0
4.980 -7.196 0.000
4.980 7.196 0.000
-3.084 0.000 14.826
Y Te H
8 16 8
Direct
0.025 0.626 0.397
0.081 0.084 0.388
0.084 0.081 0.888
0.374 0.975 0.103
0.626 0.025 0.897
0.916 0.919 0.112
0.919 0.916 0.612
0.975 0.374 0.603
0.064 0.776 0.974
0.184 0.816 0.250
0.212 0.238 0.724
0.224 0.936 0.526
0.228 0.448 0.477
0.238 0.212 0.224
0.251 0.749 0.750
0.448 0.228 0.977
0.552 0.772 0.023
0.749 0.251 0.250
0.762 0.788 0.776
0.772 0.552 0.523
0.776 0.064 0.474
0.788 0.762 0.276
0.816 0.184 0.750
0.936 0.224 0.026
0.236 0.395 0.197
0.297 0.629 0.821
0.371 0.703 0.679
0.395 0.236 0.697
0.605 0.764 0.303
0.629 0.297 0.321
0.703 0.371 0.179
0.764 0.605 0.803
```

Values from the calculation:
The value obtained for the volume is 1063 Å³/cell. Its space group is No. 15. The uncorrected energy is -4.723 eV per atom. Its calculated density is 4315 kg/m3. The value obtained for the magnetization is 0.00 μB per formula unit. As for the crystal system: monoclinic.

---

Record 12
YTe2H after structural relaxation. Source: Alexandria via LeMat-Bulk, functional PBE.

Structure (POSCAR):
```
YTe2H
1.0
6.946 0.000 0.000
0.000 4.384 0.000
-3.100 0.000 7.605
Y Te H
2 4 2
Direct
0.000 0.000 0.000
0.116 0.500 0.480
0.275 0.500 0.904
0.343 0.000 0.380
0.770 0.500 0.131
0.828 0.500 0.696
0.903 0.000 0.500
0.904 0.000 0.406
```

Values from the calculation:
The value obtained for the volume is 232 Å³/cell. Its space group is No. 6. The uncorrected energy is -4.819 eV per atom. Its calculated density is 4949 kg/m3. The value obtained for the magnetization is 0.00 μB per formula unit. As for the crystal system: monoclinic.

---

Copy entry 2 word for word.
Y2Te2H after structural relaxation. Source: Alexandria via LeMat-Bulk, functional PBE.

Structure (POSCAR):
```
Y2Te2H
1.0
1.978 -5.449 0.000
1.978 5.449 0.000
0.000 0.000 11.480
Y Te H
4 4 2
Direct
0.055 0.945 0.500
0.224 0.776 0.751
0.776 0.224 0.251
0.945 0.055 0.000
0.064 0.936 0.239
0.334 0.666 0.458
0.666 0.334 0.958
0.936 0.064 0.739
0.364 0.636 0.110
0.636 0.364 0.610
```

Values from the calculation:
The value obtained for the volume is 247 Å³/cell. Its space group is No. 36. The uncorrected energy is -5.539 eV per atom. Its calculated density is 5825 kg/m3. The value obtained for the magnetization is 0.44 μB per formula unit. As for the crystal system: orthorhombic.

---

> calculated density of number 9 (YTeH)?

5732 kg/m3

---

> The highest calculated density belongs to which entry?

number 4